No. 1
The following is a PBE-GGA calculation of AgPbBr3 after structural relaxation, from Alexandria.

For the mass density, the calculation gives 4.56 g cm⁻³. Its size of the total moment is 0.00 μB/f.u. The value obtained for the density of states at the Fermi level is 0.5 states/eV per cell. The value obtained for the uncorrected formation energy is -0.2688 eV/atom.

a = 5.8664 Å, b = 5.8664 Å, c = 5.8664 Å
α = 90.00°, β = 90.00°, γ = 90.00°
Element x y z (fractional)
Ag: 0.0000 0.0000 0.0000
Pb: 0.5000 0.5000 0.5000
Br: 0.0000 0.5000 0.5000
Br: 0.5000 0.0000 0.5000
Br: 0.5000 0.5000 0.0000

=====

No. 2
The following is a PBE-GGA calculation of PmSm12Th5 after structural relaxation, from Alexandria.

For the mass density, the calculation gives 8.58 g cm⁻³. Its size of the total moment is 0.00 μB/f.u. Its total energy is -5.44 eV/atom. The value obtained for the density of states at the Fermi level is 26.3 states/eV per cell.

a = 10.8496 Å, b = 10.8496 Å, c = 5.1144 Å
α = 90.00°, β = 90.00°, γ = 90.02°
Element x y z (fractional)
Pm: 0.0000 0.0000 0.0000
Sm: 0.0067 0.6710 0.0000
Sm: 0.1636 0.1636 0.5000
Sm: 0.1737 0.5060 0.5000
Sm: 0.3290 0.9933 0.0000
Sm: 0.3403 0.3403 0.0000
Sm: 0.4940 0.8263 0.5000
Sm: 0.5060 0.1737 0.5000
Sm: 0.6597 0.6597 0.0000
Sm: 0.6710 0.0067 0.0000
Sm: 0.8263 0.4940 0.5000
Sm: 0.8364 0.8364 0.5000
Sm: 0.9933 0.3290 0.0000
Th: 0.1679 0.8321 0.5000
Th: 0.3327 0.6673 0.0000
Th: 0.5000 0.5000 0.5000
Th: 0.6673 0.3327 0.0000
Th: 0.8321 0.1679 0.5000